1.
A geometry-optimized HfZr3Fe structure. Source: the Alexandria database, functional GGA-PBE.

CIF file:
```
data_HfZr3Fe
_chemical_formula_sum 'Hf1 Zr3 Fe1'
_cell_length_a 5.072
_cell_length_b 5.072
_cell_length_c 5.072
_cell_angle_alpha 90.00
_cell_angle_beta 90.00
_cell_angle_gamma 90.00
_space_group_name_H-M_alt 'P m -3 m'
_space_group_IT_number 221
_space_group_name_Hall '-P 4 2 3'
loop_
_atom_site_label
_atom_site_fract_x
_atom_site_fract_y
_atom_site_fract_z
Hf1 0.000 0.000 0.000
Zr1 0.000 0.000 0.500
Fe1 0.500 0.500 0.500
```

Output
relative energy among the computed polymorphs: 1674 meV per atom
formation energy: 1.688 eV/atom
final energy: -35.62 eV/cell



2.
A geometry-optimized Pm2HoThSe4 structure. Source: the Alexandria database, functional GGA-PBE.

CIF file:
```
data_Pm2HoThSe4
_chemical_formula_sum 'Pm2 Ho1 Th1 Se4'
_cell_length_a 7.196
_cell_length_b 4.132
_cell_length_c 7.279
_cell_angle_alpha 90.00
_cell_angle_beta 109.12
_cell_angle_gamma 90.00
_space_group_name_H-M_alt 'P 1 2/m 1'
_space_group_IT_number 10
loop_
_space_group_symop_operation_xyz
'x,y,z'
'-x,-y,-z'
'-x,y,-z'
'x,-y,z'
loop_
_atom_site_label
_atom_site_fract_x
_atom_site_fract_y
_atom_site_fract_z
Pm1 0.000 0.000 0.000
Pm2 0.000 0.500 0.500
Ho1 0.500 0.000 0.500
Th1 0.500 0.500 0.000
Se1 0.252 0.000 0.743
Se2 0.258 0.500 0.260
```

Output
final energy: -49.21 eV/cell
formation energy from raw total energies: -1.72 eV per atom



3.
A geometry-optimized Mg2Ga3Cu4 structure. Source: the Alexandria database, functional GGA-PBE.

CIF file:
```
data_Mg2Ga3Cu4
_chemical_formula_sum 'Mg8 Ga12 Cu16'
_cell_length_a 5.312
_cell_length_b 15.437
_cell_length_c 6.815
_cell_angle_alpha 90.00
_cell_angle_beta 90.00
_cell_angle_gamma 90.00
_space_group_name_H-M_alt 'C m c e'
_space_group_IT_number 64
_space_group_name_Hall '-C 2ac 2'
loop_
_atom_site_label
_atom_site_fract_x
_atom_site_fract_y
_atom_site_fract_z
Mg1 0.000 0.091 0.109
Ga1 0.000 0.000 0.500
Ga2 0.250 0.244 0.750
Cu1 0.000 0.161 0.487
Cu2 0.250 0.077 0.750
```

Output
formation energy: -0.164 eV/atom
final energy: -120.54 eV/cell



4.
A geometry-optimized Li3Ho3HfS8 structure. Source: the Alexandria database, functional GGA-PBE.

CIF file:
```
data_Li3Ho3HfS8
_chemical_formula_sum 'Li9 Ho9 Hf3 S24'
_cell_length_a 7.7229
_cell_length_b 7.7229
_cell_length_c 18.4839
_cell_angle_alpha 90.00
_cell_angle_beta 90.00
_cell_angle_gamma 120.00
_space_group_name_H-M_alt 'R -3 m'
_space_group_IT_number 166
_space_group_name_Hall '-R 3 2"'
loop_
_atom_site_label
_atom_site_fract_x
_atom_site_fract_y
_atom_site_fract_z
Li1 0.0000 0.5000 0.0000
Ho1 0.0000 0.5000 0.5000
Hf1 0.0000 0.0000 0.5000
S1 0.0000 0.0000 0.2500
S2 0.0185 0.5093 0.2465
```

Output
final energy: -268.51 eV/cell
formation energy from raw total energies: -1.80 eV per atom



5.
A geometry-optimized Li4BiPb5 structure. Source: the Alexandria database, functional GGA-PBE.

CIF file:
```
data_Li4BiPb5
_chemical_formula_sum 'Li8 Bi2 Pb10'
_cell_length_a 16.530
_cell_length_b 4.747
_cell_length_c 6.804
_cell_angle_alpha 90.00
_cell_angle_beta 108.31
_cell_angle_gamma 90.00
_space_group_name_H-M_alt 'C 1 2/m 1'
_space_group_IT_number 12
loop_
_space_group_symop_operation_xyz
'x,y,z'
'-x,-y,-z'
'-x,y,-z'
'x,-y,z'
'x+1/2,y+1/2,z'
'-x+1/2,-y+1/2,-z'
'-x+1/2,y+1/2,-z'
'x+1/2,-y+1/2,z'
loop_
_atom_site_label
_atom_site_fract_x
_atom_site_fract_y
_atom_site_fract_z
Li1 0.091 0.000 0.315
Li2 0.190 0.500 0.138
Bi1 0.000 0.500 0.000
Pb1 0.000 0.500 0.500
Pb2 0.117 0.000 0.845
Pb3 0.214 0.500 0.624
```

Output
formation energy: -0.205 eV/atom
final energy: -64.25 eV/cell